1.
VASP calculation (PBE-GGA) on an optimized crystal structure of CeNdGeIr.

abc: 4.590 4.590 10.148
angles: 90.00 90.00 90.00
Sites, in units of the cell vectors:
Ce 0.250 0.750 0.000
Ce 0.750 0.250 0.000
Nd 0.250 0.250 0.326
Nd 0.750 0.750 0.674
Ge 0.250 0.250 0.608
Ge 0.750 0.750 0.392
Ir 0.250 0.250 0.843
Ir 0.750 0.750 0.157

Properties
VASP energy (eV per atom): -6.505
SG: P4/nmm
D(E_F) (states/eV per cell): 13.18
ΔH_f (0 K) (eV/atom): -0.460

2.
VASP calculation (PBE-GGA) on an optimized crystal structure of NaMgIn2Ga.

abc: 5.371 5.371 5.424
angles: 90.00 90.00 90.00
Sites, in units of the cell vectors:
Na 0.000 0.000 0.000
Mg 0.500 0.500 0.000
In 0.000 0.500 0.500
In 0.500 0.000 0.500
Ga 0.000 0.000 0.500

Properties
VASP energy (eV per atom): -2.041
SG: P4/mmm
D(E_F) (states/eV per cell): 1.67
ΔH_f (0 K) (eV/atom): 0.242

no.,magnetization (μB per cell)
1,0.0
2,0.0